No. 1
# Tb2PrDy3 GGA-PBE relaxed
# ΔH_f (0 K): 0.066 eV/atom
# energy relative to the lowest polymorph listed for this composition: 0.067 eV per atom
data_Tb2PrDy3
_chemical_formula_sum 'Tb8 Pr4 Dy12'
_cell_length_a 9.000
_cell_length_b 9.813
_cell_length_c 8.978
_cell_angle_alpha 90.00
_cell_angle_beta 102.45
_cell_angle_gamma 90.00
_space_group_name_H-M_alt 'C 1 2/c 1'
_space_group_IT_number 15
loop_
_space_group_symop_operation_xyz
'x,y,z'
'-x,-y,-z'
'-x,y,-z+1/2'
'x,-y,z+1/2'
'x+1/2,y+1/2,z'
'-x+1/2,-y+1/2,-z'
'-x+1/2,y+1/2,-z+1/2'
'x+1/2,-y+1/2,z+1/2'
loop_
_atom_site_label
_atom_site_type_symbol
_atom_site_fract_x
_atom_site_fract_y
_atom_site_fract_z
Tb1 Tb 0.124 0.248 0.125
Pr1 Pr 0.000 0.405 0.750
Dy1 Dy 0.000 0.073 0.750
Dy2 Dy 0.244 0.416 0.494

---

No. 2
# Na2LiNpBr6 GGA-PBE relaxed
# raw formation energy: -1.4402 eV per atom
data_Na2LiNpBr6
_chemical_formula_sum 'Na6 Li3 Np3 Br18'
_cell_length_a 7.3425
_cell_length_b 7.3425
_cell_length_c 19.9580
_cell_angle_alpha 90.00
_cell_angle_beta 90.00
_cell_angle_gamma 120.00
_space_group_name_H-M_alt 'R 3'
_space_group_IT_number 146
_space_group_name_Hall 'R 3'
loop_
_atom_site_label
_atom_site_type_symbol
_atom_site_fract_x
_atom_site_fract_y
_atom_site_fract_z
Na1 Na 0.0000 0.0000 0.0000
Na2 Na 0.0000 0.0000 0.4970
Li1 Li 0.0000 0.0000 0.2007
Np1 Np 0.0000 0.0000 0.6934
Br1 Br 0.0378 0.6942 0.2684
Br2 Br 0.0448 0.3492 0.7723

---

No. 3
# YPuSe2 GGA-PBE relaxed
# raw formation energy: -1.5925 eV per atom
# energy relative to the lowest polymorph listed for this composition: 0.086 eV per atom
data_YPuSe2
_chemical_formula_sum 'Y3 Pu3 Se6'
_cell_length_a 3.9841
_cell_length_b 3.9841
_cell_length_c 21.7964
_cell_angle_alpha 90.00
_cell_angle_beta 90.00
_cell_angle_gamma 120.00
_space_group_name_H-M_alt 'R 3 m'
_space_group_IT_number 160
_space_group_name_Hall 'R 3 -2"'
loop_
_atom_site_label
_atom_site_type_symbol
_atom_site_fract_x
_atom_site_fract_y
_atom_site_fract_z
Y1 Y 0.0000 0.0000 0.0000
Pu1 Pu 0.0000 0.0000 0.8255
Se1 Se 0.0000 0.0000 0.2469
Se2 Se 0.0000 0.0000 0.4129

---

No. 4
# NaMnSN2 GGA-PBE relaxed
# raw formation energy: 1.9424 eV per atom
# energy relative to the lowest polymorph listed for this composition: 1.650 eV per atom
data_NaMnSN2
_chemical_formula_sum 'Na1 Mn1 S1 N2'
_cell_length_a 4.215
_cell_length_b 4.215
_cell_length_c 5.354
_cell_angle_alpha 90.00
_cell_angle_beta 90.00
_cell_angle_gamma 90.00
_space_group_name_H-M_alt 'P 4/m m m'
_space_group_IT_number 123
_space_group_name_Hall '-P 4 2'
loop_
_atom_site_label
_atom_site_type_symbol
_atom_site_fract_x
_atom_site_fract_y
_atom_site_fract_z
Na1 Na 0.000 0.000 0.000
Mn1 Mn 0.500 0.500 0.500
S1 S 0.000 0.000 0.500
N1 N 0.000 0.500 0.000

---

No. 5
# Cs4Ac3AlS8 GGA-PBE relaxed
# raw formation energy: -1.5731 eV per atom
data_Cs4Ac3AlS8
_chemical_formula_sum 'Cs8 Ac6 Al2 S16'
_cell_length_a 15.211
_cell_length_b 8.555
_cell_length_c 9.567
_cell_angle_alpha 90.00
_cell_angle_beta 121.58
_cell_angle_gamma 90.00
_space_group_name_H-M_alt 'C 1 2/m 1'
_space_group_IT_number 12
loop_
_space_group_symop_operation_xyz
'x,y,z'
'-x,-y,-z'
'-x,y,-z'
'x,-y,z'
'x+1/2,y+1/2,z'
'-x+1/2,-y+1/2,-z'
'-x+1/2,y+1/2,-z'
'x+1/2,-y+1/2,z'
loop_
_atom_site_label
_atom_site_type_symbol
_atom_site_fract_x
_atom_site_fract_y
_atom_site_fract_z
Cs1 Cs 0.000 0.000 0.000
Cs2 Cs 0.000 0.500 0.000
Cs3 Cs 0.250 0.250 0.000
Ac1 Ac 0.000 0.000 0.500
Ac2 Ac 0.250 0.250 0.500
Al1 Al 0.000 0.500 0.500
S1 S 0.016 0.292 0.332
S2 S 0.229 0.000 0.697
S3 S 0.243 0.500 0.707

---

No. 6
# PrHoTm GGA-PBE relaxed
# ΔH_f (0 K): 0.261 eV/atom
# energy relative to the lowest polymorph listed for this composition: 0.238 eV per atom
data_PrHoTm
_chemical_formula_sum 'Pr2 Ho2 Tm2'
_cell_length_a 4.881
_cell_length_b 4.881
_cell_length_c 8.622
_cell_angle_alpha 90.00
_cell_angle_beta 90.00
_cell_angle_gamma 90.00
_space_group_name_H-M_alt 'P 4/n m m'
_space_group_IT_number 129
loop_
_space_group_symop_operation_xyz
'x,y,z'
'-x,-y,-z'
'-y+1/2,x,z'
'y+1/2,-x,-z'
'-x+1/2,-y+1/2,z'
'x+1/2,y+1/2,-z'
'y,-x+1/2,z'
'-y,x+1/2,-z'
'x+1/2,-y,-z'
'-x+1/2,y,z'
'-y,-x,-z'
'y,x,z'
'-x,y+1/2,-z'
'x,-y+1/2,z'
'y+1/2,x+1/2,-z'
'-y+1/2,-x+1/2,z'
loop_
_atom_site_label
_atom_site_type_symbol
_atom_site_fract_x
_atom_site_fract_y
_atom_site_fract_z
Pr1 Pr 0.250 0.750 0.000
Ho1 Ho 0.250 0.250 0.304
Tm1 Tm 0.250 0.250 0.699

---

No. 7
# KTa2Ni GGA-PBE relaxed
# ΔH_f (0 K): 1.629 eV/atom
# energy relative to the lowest polymorph listed for this composition: 1.133 eV per atom
data_KTa2Ni
_chemical_formula_sum 'K1 Ta2 Ni1'
_cell_length_a 4.922
_cell_length_b 4.922
_cell_length_c 2.936
_cell_angle_alpha 90.00
_cell_angle_beta 90.00
_cell_angle_gamma 90.00
_space_group_name_H-M_alt 'P 4/m m m'
_space_group_IT_number 123
_space_group_name_Hall '-P 4 2'
loop_
_atom_site_label
_atom_site_type_symbol
_atom_site_fract_x
_atom_site_fract_y
_atom_site_fract_z
K1 K 0.000 0.000 0.000
Ta1 Ta 0.000 0.500 0.500
Ni1 Ni 0.500 0.500 0.000

---

No. 8
# DyPa4S5 GGA-PBE relaxed
# raw formation energy: -1.6740 eV per atom
data_DyPa4S5
_chemical_formula_sum 'Dy2 Pa8 S10'
_cell_length_a 8.713
_cell_length_b 8.713
_cell_length_c 5.505
_cell_angle_alpha 90.00
_cell_angle_beta 90.00
_cell_angle_gamma 90.00
_space_group_name_H-M_alt 'I 4/m'
_space_group_IT_number 87
_space_group_name_Hall '-I 4'
loop_
_atom_site_label
_atom_site_type_symbol
_atom_site_fract_x
_atom_site_fract_y
_atom_site_fract_z
Dy1 Dy 0.000 0.000 0.000
Pa1 Pa 0.101 0.301 0.500
S1 S 0.000 0.000 0.500
S2 S 0.100 0.298 0.000

---

no.,magnetization (Bohr magnetons per cell),calculated total energy (eV per cell)
1,0.00,-109.8
2,12.00,-125.8
3,16.40,-102.4
4,10.00,-21.6
5,0.00,-155.3
6,0.00,-26.1
7,0.00,-24.1
8,0.03,-159.9